(1)
Crystalline NdSm2ScS4 at its relaxed geometry. Source: the Alexandria database, functional PBE-GGA.

Output
- D(E_F) (states/eV per cell) = 4.79
- energy (eV per cell) = -52.63

a = 3.914 Å, b = 6.911 Å, c = 6.844 Å
α = 108.96°, β = 90.00°, γ = 90.00°
Fractional coordinates of all 8 atoms:
1 Nd 0.500 0.500 0.000
2 Sm 0.500 0.000 0.500
3 Sm 0.000 0.500 0.500
4 Sc 0.000 0.000 0.000
5 S 0.500 0.231 0.234
6 S 0.500 0.769 0.766
7 S 0.000 0.238 0.755
8 S 0.000 0.762 0.245



(2)
Crystalline La8Ga3PdBr4 at its relaxed geometry. Source: the Alexandria database, functional PBE-GGA.

Output
- D(E_F) (states/eV per cell) = 15.23
- energy (eV per cell) = -75.96

a = 8.868 Å, b = 8.840 Å, c = 8.874 Å
α = 120.15°, β = 119.98°, γ = 90.00°
Fractional coordinates of all 16 atoms:
1 La 0.241 0.726 0.985
2 La 0.241 0.727 0.483
3 La 0.254 0.263 0.509
4 La 0.745 0.726 0.985
5 La 0.255 0.274 0.015
6 La 0.746 0.737 0.491
7 La 0.759 0.273 0.517
8 La 0.759 0.274 0.015
9 Ga 0.500 0.500 0.000
10 Ga 0.500 0.500 0.500
11 Ga 0.000 0.500 0.500
12 Pd 0.000 0.500 0.000
13 Br 0.500 0.000 0.000
14 Br 0.500 0.000 0.500
15 Br 0.000 0.000 0.000
16 Br 0.000 0.000 0.500



(3)
Crystalline PPbS4 at its relaxed geometry. Source: the Alexandria database, functional PBE-GGA.

Output
- D(E_F) (states/eV per cell) = 8.13
- energy (eV per cell) = -53.45

a = 6.033 Å, b = 6.033 Å, c = 9.137 Å
α = 90.00°, β = 90.00°, γ = 92.88°
Fractional coordinates of all 12 atoms:
1 P 0.669 0.669 0.000
2 P 0.331 0.331 0.500
3 Pb 0.789 0.211 0.750
4 Pb 0.211 0.789 0.250
5 S 0.159 0.245 0.312
6 S 0.841 0.755 0.812
7 S 0.245 0.159 0.688
8 S 0.653 0.266 0.457
9 S 0.755 0.841 0.188
10 S 0.734 0.347 0.043
11 S 0.266 0.653 0.543
12 S 0.347 0.734 0.957



(4)
Crystalline DyY2Br at its relaxed geometry. Source: the Alexandria database, functional PBE-GGA.

Output
- D(E_F) (states/eV per cell) = 5.60
- energy (eV per cell) = -20.10

a = 3.504 Å, b = 3.504 Å, c = 11.617 Å
α = 81.33°, β = 81.33°, γ = 60.00°
Fractional coordinates of all 4 atoms:
1 Y 0.098 0.098 0.705
2 Y 0.902 0.902 0.295
3 Br 0.500 0.500 0.500
4 Dy 0.000 0.000 0.000



(5)
Crystalline Ac2InHg5 at its relaxed geometry. Source: the Alexandria database, functional PBE-GGA.

Output
- D(E_F) (states/eV per cell) = 6.35
- calculated formation energy (kJ/mol of atoms) = -34.5

a = 7.139 Å, b = 7.107 Å, c = 6.845 Å
α = 121.71°, β = 121.79°, γ = 89.02°
Fractional coordinates of all 8 atoms:
1 Ac 0.181 0.735 0.440
2 Ac 0.757 0.206 0.447
3 In 0.213 0.199 0.380
4 Hg 0.694 0.225 0.924
5 Hg 0.274 0.273 0.996
6 Hg 0.670 0.674 0.891
7 Hg 0.248 0.716 0.966
8 Hg 0.739 0.749 0.511



(6)
Crystalline LaSn2S2 at its relaxed geometry. Source: the Alexandria database, functional PBE-GGA.

Output
- D(E_F) (states/eV per cell) = 5.52
- distance to the lowest polymorph of the same formula (meV/atom) = 15

a = 8.205 Å, b = 8.205 Å, c = 3.912 Å
α = 90.00°, β = 90.00°, γ = 90.00°
Fractional coordinates of all 10 atoms:
1 S 0.214 0.714 0.500
2 S 0.714 0.786 0.500
3 S 0.786 0.286 0.500
4 S 0.286 0.214 0.500
5 Sn 0.370 0.870 0.000
6 Sn 0.870 0.630 0.000
7 Sn 0.630 0.130 0.000
8 Sn 0.130 0.370 0.000
9 La 0.000 0.000 0.000
10 La 0.500 0.500 0.000



(7)
Crystalline Tb4Sm2Sc3 at its relaxed geometry. Source: the Alexandria database, functional PBE-GGA.

Output
- D(E_F) (states/eV per cell) = 13.28
- calculated formation energy (kJ/mol of atoms) = 6.3
- distance to the lowest polymorph of the same formula (meV/atom) = 38

a = 3.506 Å, b = 3.506 Å, c = 25.552 Å
α = 90.00°, β = 90.00°, γ = 120.00°
Fractional coordinates of all 9 atoms:
1 Tb 0.000 0.000 0.547
2 Tb 0.667 0.333 0.432
3 Tb 0.667 0.333 0.224
4 Tb 0.000 0.000 0.756
5 Sm 0.667 0.333 0.085
6 Sm 0.667 0.333 0.874
7 Sc 0.000 0.000 0.981
8 Sc 0.000 0.000 0.327
9 Sc 0.667 0.333 0.652



(8)
Crystalline PbS6I2 at its relaxed geometry. Source: the Alexandria database, functional PBE-GGA.

Output
- D(E_F) (states/eV per cell) = 0.00
- energy (eV per cell) = -32.79

a = 4.652 Å, b = 8.512 Å, c = 8.511 Å
α = 111.16°, β = 90.22°, γ = 90.20°
Fractional coordinates of all 9 atoms:
1 Pb 0.000 0.000 0.000
2 S 0.926 0.516 0.281
3 S 0.074 0.484 0.719
4 S 0.855 0.683 0.683
5 S 0.926 0.282 0.516
6 S 0.074 0.718 0.484
7 S 0.145 0.317 0.317
8 I 0.500 0.841 0.158
9 I 0.500 0.159 0.842